*i*
{"formula": "AcSeS3", "functional": "PBE", "state": "optimized geometry", "sg": "Pna2_1, No. 33", "lattice": [[6.538, 0.000, 0.000], [0.000, 8.323, 0.000], [0.000, 0.000, 9.224]], "species": ["Se", "Se", "S", "Se", "Ac", "S", "S", "S", "S", "S", "Ac", "S", "S", "S", "Ac", "Ac", "S", "S", "S", "Se"], "frac_coords": [[0.524, 0.999, 0.500], [0.476, 0.001, 0.000], [0.189, 0.834, 0.527], [0.976, 0.499, 0.500], [0.941, 0.887, 0.227], [0.683, 0.660, 0.433], [0.357, 0.058, 0.224], [0.317, 0.340, 0.933], [0.857, 0.442, 0.724], [0.689, 0.666, 0.027], [0.559, 0.387, 0.227], [0.311, 0.334, 0.527], [0.183, 0.840, 0.933], [0.643, 0.942, 0.724], [0.441, 0.613, 0.727], [0.059, 0.113, 0.727], [0.817, 0.160, 0.433], [0.811, 0.166, 0.027], [0.143, 0.558, 0.224], [0.024, 0.501, 0.000]]}



*ii*
{"formula": "AcSeS3", "functional": "PBE", "state": "optimized geometry", "sg": "Pm-3m, No. 221", "lattice": [[-1.244, -4.342, -1.822], [4.068, -1.940, 1.847], [-2.372, -1.051, 4.122]], "species": ["Ac", "Se", "S", "S", "S"], "frac_coords": [[0.500, 0.500, 0.500], [0.000, 0.000, 0.000], [0.000, 0.500, 0.000], [0.000, 0.000, 0.500], [0.500, 0.000, 0.000]]}



Most stable pick: *i*. Distance to second place: 9.2 kJ/mol of atoms.



*i*
{"formula": "AcSeS2", "functional": "PBE", "state": "optimized geometry", "sg": "P4/nmm, No. 129", "lattice": [[4.528, 0.000, 0.000], [0.000, 4.311, -1.361], [0.000, -1.271, 10.998]], "species": ["Ac", "Se", "S", "Se", "S", "S", "Ac", "S"], "frac_coords": [[0.250, 0.056, 0.306], [0.250, 0.370, 0.621], [0.250, 0.347, 0.097], [0.750, 0.630, 0.379], [0.250, 0.152, 0.903], [0.750, 0.848, 0.097], [0.750, 0.944, 0.694], [0.750, 0.653, 0.903]]}



*ii*
{"formula": "AcSeS2", "functional": "PBE", "state": "optimized geometry", "sg": "R-3m, No. 166", "lattice": [[-3.135, 1.553, 3.000], [-2.080, -2.932, 2.884], [3.807, 0.710, 7.150]], "species": ["Ac", "S", "S", "Se"], "frac_coords": [[0.500, 0.500, 0.500], [0.893, 0.893, 0.321], [0.107, 0.107, 0.679], [0.000, 0.000, 0.000]]}



Most stable pick: *i*. Distance to second place: 12.9 kJ/mol of atoms.